Record 1
GGA-PBE Er2Sc5Co2, optimized geometry; spin magnetization = 0.0 μB per cell
1.0
-5.1214 -2.9263 -2.9746
3.0948 -5.7614 0.3394
-6.4753 -3.0755 6.8386
Er Sc Co
4 10 4
Direct
0.2300 0.0000 0.5400
0.7300 0.5000 0.5400
0.7700 0.0000 0.4600
0.2700 0.5000 0.4600
0.0000 0.0000 0.0000
0.5000 0.5000 0.0000
0.4242 0.1771 0.7910
0.7848 0.8229 0.7910
0.2848 0.6771 0.7910
0.9242 0.3229 0.7910
0.5758 0.8229 0.2090
0.2152 0.1771 0.2090
0.7152 0.3229 0.2090
0.0758 0.6771 0.2090
0.1202 0.3826 0.0000
0.8798 0.6174 0.0000
0.3798 0.8826 0.0000
0.6202 0.1174 0.0000

Record 2
GGA-PBE Er6ScCo3, optimized geometry; spin magnetization = 0.0 μB per cell
1.0
7.0710 0.0000 0.0000
0.0000 8.2672 -1.5700
0.0000 -1.0248 8.3523
Er Sc Co
12 2 6
Direct
0.9863 0.6250 0.7267
0.4863 0.7267 0.6250
0.3593 0.6106 0.9837
0.8593 0.9837 0.6106
0.2094 0.0148 0.9852
0.6174 0.3403 0.6597
0.1174 0.6597 0.3403
0.7094 0.9852 0.0148
0.3593 0.0163 0.3894
0.8593 0.3894 0.0163
0.9863 0.2733 0.3750
0.4863 0.3750 0.2733
0.1934 0.2608 0.7392
0.6934 0.7392 0.2608
0.4921 0.0497 0.7229
0.9921 0.7229 0.0497
0.2898 0.4367 0.5633
0.7898 0.5633 0.4367
0.9921 0.9503 0.2771
0.4921 0.2771 0.9503

Record 3
GGA-PBE Er2ScCo9, optimized geometry; spin magnetization = 10.7 μB per cell
1.0
4.8976 0.0000 0.0000
2.4488 4.2415 0.0000
2.4488 1.4138 8.0861
Er Sc Co
2 1 9
Direct
0.8611 0.8611 0.4167
0.1389 0.1389 0.5833
0.0000 0.0000 0.0000
0.6653 0.6653 0.0042
0.3347 0.3347 0.9958
0.5000 0.5000 0.5000
0.4178 0.4178 0.2425
0.9219 0.4178 0.2425
0.4178 0.9219 0.2425
0.5822 0.5822 0.7575
0.5822 0.0781 0.7575
0.0781 0.5822 0.7575

Calculated ΔH_f (0 K), -0.12 -0.11 -0.20 eV per atom (same order as the records).
Calculated V, 22.45 23.84 14.00 Å³/atom (same order as the records).